No. 1
First-principles (GGA-PBE) data for an optimized crystal structure of KY2Sb, as listed in the Alexandria database.

Computed properties:
Uncorrected formation energy ... 247.1 meV/atom
Magnetic moment ... 0.00 μB per atom

Structure (extended XYZ):
```
8
Lattice="-5.9263 -0.4604 -1.7317 1.7363 0.0029 -5.9429 -1.3466 -10.6650 -3.6238" Properties=species:S:1:pos:R:3 pbc="T T T"
Y -5.1263 -3.0548 -3.1118
Y -4.6159 -3.0812 -6.1877
Y -2.9629 -8.1709 -4.2894
Y -6.0309 -8.4013 -4.7966
Sb 0.0000 0.0000 0.0000
Sb -4.6840 -5.6771 -4.5964
K -2.0950 -0.2287 -3.8373
K -0.8527 -5.4454 -6.7019
```

=====

No. 2
First-principles (GGA-PBE) data for an optimized crystal structure of KY2Sb, as listed in the Alexandria database.

Computed properties:
Uncorrected formation energy ... -214.6 meV/atom
Magnetic moment ... 0.00 μB per atom

Structure (extended XYZ):
```
4
Lattice="-3.1253 -1.6702 1.5104 2.1018 -1.2265 2.9861 -2.1658 8.6408 5.0735" Properties=species:S:1:pos:R:3 pbc="T T T"
K -1.0532 0.7119 3.5166
Sb -2.1361 5.0323 6.0533
Y -1.9797 7.8984 4.6376
Y -1.2690 5.0629 2.9727
```

=====

Look up the uncorrected formation energy of the second one.
-214.6 meV/atom

=====

Which formula does entry 1 have?
KY2Sb

=====

Which value of magnetic moment does entry 1 give?
0.00 μB per atom

=====

Which formula does entry 1 have?
KY2Sb